Here is a relaxed CaGeTeO6 crystal from the Alexandria database. Energies are from PBE.

Values from the calculation:
E_form (uncorrected), eV/f.u.: -16.2
ρ, g/cm³: 4.8
Symmetry: P-31c
Total energy, eV per cell: -111.38

Cell: 5.1140 5.1140 10.2707 Å, 90.00 90.00 120.00°
Closest atoms and distances in Å follow each position.
Fractional positions:
Ca (0.0000, 0.0000, 0.0000)  6 O 2.42
Ca (0.0000, 0.0000, 0.5000)  6 O 2.42
Ge (0.3333, 0.6667, 0.2500)  6 O 1.93
Ge (0.6667, 0.3333, 0.7500)  6 O 1.93
Te (0.3333, 0.6667, 0.7500)  6 O 1.96
Te (0.6667, 0.3333, 0.2500)  6 O 1.96
O (0.0039, 0.3750, 0.1446)  1 Ge 1.93, 1 Te 1.96
O (0.0039, 0.6289, 0.3554)  1 Ge 1.93, 1 Te 1.96
O (0.3711, 0.3750, 0.3554)  1 Ge 1.93, 1 Te 1.96
O (0.3711, 0.9961, 0.1446)  1 Ge 1.93, 1 Te 1.96
O (0.3750, 0.0039, 0.6446)  1 Ge 1.93, 1 Te 1.96
O (0.3750, 0.3711, 0.8554)  1 Ge 1.93, 1 Te 1.96
O (0.6250, 0.6289, 0.1446)  1 Ge 1.93, 1 Te 1.96
O (0.6250, 0.9961, 0.3554)  1 Ge 1.93, 1 Te 1.96
O (0.6289, 0.0039, 0.8554)  1 Ge 1.93, 1 Te 1.96
O (0.6289, 0.6250, 0.6446)  1 Ge 1.93, 1 Te 1.96
O (0.9961, 0.3711, 0.6446)  1 Ge 1.93, 1 Te 1.96
O (0.9961, 0.6250, 0.8554)  1 Ge 1.93, 1 Te 1.96

---

Here is a relaxed Dy6Ge3TeSe2 crystal from the Alexandria database. Energies are from PBE.

Values from the calculation:
E_form (uncorrected), eV/f.u.: -15.7
ρ, g/cm³: 7.9
Symmetry: C2/m
Total energy, eV per cell: -67.31

Cell: 9.3665 9.3665 8.4018 Å, 103.58 103.58 25.73°
Closest atoms and distances in Å follow each position.
Fractional positions:
Dy (0.0017, 0.0017, 0.2316)  3 Ge 2.85-2.90, 1 Se 3.01, 2 Te 3.08
Dy (0.3258, 0.3258, 0.4221)  3 Ge 2.85-2.91, 2 Se 3.02, 1 Te 3.09
Dy (0.3357, 0.3357, 0.9089)  3 Ge 2.90-2.91, 3 Se 2.98-3.01
Dy (0.6643, 0.6643, 0.0911)  3 Ge 2.90-2.91, 3 Se 2.98-3.01
Dy (0.6742, 0.6742, 0.5779)  3 Ge 2.85-2.91, 2 Se 3.02, 1 Te 3.09
Dy (0.9983, 0.9983, 0.7684)  3 Ge 2.85-2.90, 1 Se 3.01, 2 Te 3.08
Ge (0.1651, 0.1651, 0.3316)  6 Dy 2.85-2.91
Ge (0.5000, 0.5000, 0.0000)  6 Dy 2.85-2.91
Ge (0.8349, 0.8349, 0.6684)  6 Dy 2.85-2.91
Te (0.5000, 0.5000, 0.5000)  6 Dy 3.08-3.09
Se (0.1677, 0.1677, 0.8345)  6 Dy 2.98-3.02
Se (0.8323, 0.8323, 0.1655)  6 Dy 2.98-3.02

---

Here is a relaxed CaMgBr2 crystal from the Alexandria database. Energies are from PBE.

Values from the calculation:
E_form (uncorrected), eV/f.u.: -2.7
Distance to the lowest polymorph of the same formula, kcal/mol of atoms: 13.234
ρ, g/cm³: 3.1
Symmetry: F-43m
Total energy, eV per cell: -9.59

Cell: 5.5158 5.5158 5.5158 Å, 60.00 60.00 60.00°
Closest atoms and distances in Å follow each position.
Fractional positions:
Ca (0.0000, 0.0000, 0.0000)  4 Br 3.38, 4 Mg 3.38
Mg (0.2500, 0.2500, 0.2500)  4 Br 3.38, 4 Ca 3.38
Br (0.5000, 0.5000, 0.5000)  4 Br 3.38, 4 Mg 3.38
Br (0.7500, 0.7500, 0.7500)  4 Br 3.38, 4 Ca 3.38